Tl3SbSe4 | the Alexandria database | PBE | relaxed; VASP energy = -3.4579 eV/atom; excess energy over the best structure of this formula in the dataset = 0 meV per atom; total moment = 0.00 μB/f.u.; formation energy (no corrections) = -30 kJ per mole of atoms
1.0
-2.744 6.213 6.873
-8.469 -4.991 1.130
4.920 -6.561 7.895
Tl Se Sb
12 16 4
Direct
0.414 0.811 0.057
0.586 0.189 0.557
0.914 0.689 0.443
0.586 0.189 0.943
0.414 0.811 0.443
0.409 0.611 0.750
0.086 0.311 0.943
0.086 0.311 0.557
0.914 0.689 0.057
0.591 0.389 0.250
0.091 0.111 0.250
0.909 0.889 0.750
0.024 0.580 0.750
0.524 0.920 0.750
0.146 0.969 0.570
0.646 0.531 0.930
0.146 0.969 0.930
0.327 0.280 0.750
0.354 0.469 0.070
0.354 0.469 0.430
0.646 0.531 0.570
0.827 0.220 0.750
0.673 0.720 0.250
0.173 0.780 0.250
0.976 0.420 0.250
0.854 0.031 0.430
0.476 0.080 0.250
0.854 0.031 0.070
0.787 0.474 0.750
0.713 0.974 0.250
0.287 0.026 0.750
0.213 0.526 0.250